First-principles (GGA-PBE) data for a relaxed TmSe crystal, as listed in Alexandria.

a = 4.017 Å, b = 4.017 Å, c = 4.017 Å
α = 60.00°, β = 60.00°, γ = 60.00°
Element x y z (fractional)
Tm (0.500, 0.500, 0.500)
Se (0.000, 0.000, 0.000)

Summary:
**E_form (uncorrected)**: -1.65 eV per atom
**DOS(E_F)**: 0.627 states/eV/atom
**Size of the total moment**: 0.00 μB per cell
**Space group**: Fm-3m, No. 225